Record 1
# Mn3AlCr PBE-GGA relaxed
data_Mn3AlCr
_chemical_formula_sum 'Mn3 Al1 Cr1'
_symmetry_space_group_name_H-M 'P m -3 m'
_symmetry_Int_Tables_number 221
_symmetry_space_group_name_Hall '-P 4 2 3'
_cell_length_a 4.3944
_cell_length_b 4.3944
_cell_length_c 4.3944
_cell_angle_alpha 90.00
_cell_angle_beta 90.00
_cell_angle_gamma 90.00
loop_
_atom_site_label
_atom_site_fract_x
_atom_site_fract_y
_atom_site_fract_z
Mn1 0.0000 0.0000 0.5000
Al1 0.0000 0.0000 0.0000
Cr1 0.5000 0.5000 0.5000
# - formation energy from the elements (eV per atom) = 1.543
# - energy above the lowest structure with this stoichiometry (meV per atom) = 674.0


Record 2
# HfV2Te2Se4 PBE-GGA relaxed
data_HfV2Te2Se4
_chemical_formula_sum 'Hf1 V2 Te2 Se4'
_symmetry_space_group_name_H-M 'P 3 m 1'
_symmetry_Int_Tables_number 156
_symmetry_space_group_name_Hall 'P 3 -2"'
_cell_length_a 3.4062
_cell_length_b 3.4062
_cell_length_c 22.6244
_cell_angle_alpha 90.00
_cell_angle_beta 90.00
_cell_angle_gamma 120.00
loop_
_atom_site_label
_atom_site_fract_x
_atom_site_fract_y
_atom_site_fract_z
Hf1 0.0000 0.0000 0.0000
V1 0.0000 0.0000 0.6401
V2 0.6667 0.3333 0.3338
Te1 0.6667 0.3333 0.0961
Te2 0.6667 0.3333 0.9040
Se1 0.0000 0.0000 0.2637
Se2 0.0000 0.0000 0.4038
Se3 0.6667 0.3333 0.5702
Se4 0.6667 0.3333 0.7102
# - ΔE_f (raw) (kJ/mol of atoms) = -59


Record 3
# CePmZr2N4 PBE-GGA relaxed
data_CePmZr2N4
_chemical_formula_sum 'Ce1 Pm1 Zr2 N4'
_symmetry_space_group_name_H-M 'P 1 2/m 1'
_symmetry_Int_Tables_number 10
_symmetry_space_group_name_Hall '-P 2y'
_cell_length_a 5.8654
_cell_length_b 3.3788
_cell_length_c 5.9946
_cell_angle_alpha 90.00
_cell_angle_beta 108.96
_cell_angle_gamma 90.00
loop_
_atom_site_label
_atom_site_fract_x
_atom_site_fract_y
_atom_site_fract_z
Ce1 0.0000 0.0000 0.0000
Pm1 0.5000 0.5000 0.0000
Zr1 0.0000 0.5000 0.5000
Zr2 0.5000 0.0000 0.5000
N1 0.2363 0.0000 0.7219
N2 0.2559 0.5000 0.2767
# - ΔE_f (raw) (kJ/mol of atoms) = -156


Record 4
# Cs2NaPa3Se8 PBE-GGA relaxed
data_Cs2NaPa3Se8
_chemical_formula_sum 'Cs6 Na3 Pa9 Se24'
_symmetry_space_group_name_H-M 'R 3 m'
_symmetry_Int_Tables_number 160
_symmetry_space_group_name_Hall 'R 3 -2"'
_cell_length_a 8.4796
_cell_length_b 8.4796
_cell_length_c 26.7885
_cell_angle_alpha 90.00
_cell_angle_beta 90.00
_cell_angle_gamma 120.00
loop_
_atom_site_label
_atom_site_fract_x
_atom_site_fract_y
_atom_site_fract_z
Cs1 0.0000 0.0000 0.0000
Cs2 0.0000 0.0000 0.3524
Na1 0.0000 0.0000 0.5071
Pa1 0.0035 0.5018 0.4996
Se1 0.0000 0.0000 0.2221
Se2 0.0000 0.0000 0.7746
Se3 0.0205 0.5102 0.7761
Se4 0.1799 0.3597 0.5578
# - ΔE_f (raw) (kJ/mol of atoms) = -134


no.,density of states at the Fermi level (states/eV/cell),theoretical density (g/cm³)
1,16.9,4.77
2,4.6,6.22
3,3.7,7.74
4,33.7,4.82